Entry 1:
First-principles (PBE) data for a relaxed Sc6TlPd5 crystal, as listed in Alexandria.

a = 4.776 Å, b = 6.657 Å, c = 7.533 Å
α = 90.00°, β = 108.02°, γ = 90.00°
Fractional coordinates of all 12 atoms:
Sc (0.000, 0.236, 0.000)
Sc (0.000, 0.764, 0.000)
Sc (0.326, 0.245, 0.655)
Sc (0.326, 0.755, 0.655)
Sc (0.674, 0.245, 0.345)
Sc (0.674, 0.755, 0.345)
Tl (0.500, 0.500, 0.000)
Pd (0.166, 0.500, 0.328)
Pd (0.168, 0.000, 0.329)
Pd (0.500, 0.000, 0.000)
Pd (0.832, 0.000, 0.671)
Pd (0.834, 0.500, 0.672)

Summary:
calculated formation energy	-769	meV per atom
VASP energy	-6.295	eV/atom
calculated volume	19.0	A^3/atom

Entry 2:
First-principles (PBE) data for a relaxed ScTl2Pd2 crystal, as listed in Alexandria.

a = 7.171 Å, b = 7.171 Å, c = 7.171 Å
α = 146.56°, β = 146.56°, γ = 48.02°
Fractional coordinates of all 5 atoms:
Sc (0.000, 0.000, 0.000)
Tl (0.250, 0.750, 0.500)
Tl (0.750, 0.250, 0.500)
Pd (0.402, 0.402, 0.000)
Pd (0.598, 0.598, 0.000)

Summary:
calculated formation energy	-96	meV per atom
VASP energy	-4.386	eV/atom
offset from the most stable computed form	186	meV/atom
calculated volume	22.3	A^3/atom

Entry 3:
First-principles (PBE) data for a relaxed Sc2TlPd9 crystal, as listed in Alexandria.

a = 4.030 Å, b = 4.030 Å, c = 12.142 Å
α = 90.00°, β = 90.00°, γ = 90.00°
Fractional coordinates of all 12 atoms:
Sc (0.000, 0.000, 0.166)
Sc (0.000, 0.000, 0.834)
Tl (0.000, 0.000, 0.500)
Pd (0.000, 0.500, 0.000)
Pd (0.000, 0.500, 0.327)
Pd (0.000, 0.500, 0.673)
Pd (0.500, 0.000, 0.000)
Pd (0.500, 0.000, 0.327)
Pd (0.500, 0.000, 0.673)
Pd (0.500, 0.500, 0.163)
Pd (0.500, 0.500, 0.500)
Pd (0.500, 0.500, 0.837)

Summary:
calculated formation energy	-637	meV per atom
VASP energy	-5.784	eV/atom
calculated volume	16.4	A^3/atom

Entry 4:
First-principles (PBE) data for a relaxed Sc3TlPd4 crystal, as listed in Alexandria.

a = 9.348 Å, b = 6.710 Å, c = 4.674 Å
α = 90.00°, β = 90.00°, γ = 90.00°
Fractional coordinates of all 16 atoms:
Sc (0.000, 0.000, 0.000)
Sc (0.250, 0.000, 0.499)
Sc (0.250, 0.500, 0.499)
Sc (0.500, 0.000, 0.000)
Sc (0.750, 0.000, 0.501)
Sc (0.750, 0.500, 0.501)
Tl (0.000, 0.500, 0.000)
Tl (0.500, 0.500, 0.000)
Pd (0.000, 0.234, 0.500)
Pd (0.000, 0.766, 0.500)
Pd (0.250, 0.234, 0.998)
Pd (0.250, 0.766, 0.998)
Pd (0.500, 0.234, 0.500)
Pd (0.500, 0.766, 0.500)
Pd (0.750, 0.234, 0.002)
Pd (0.750, 0.766, 0.002)

Summary:
calculated formation energy	-761	meV per atom
VASP energy	-6.028	eV/atom
calculated volume	18.3	A^3/atom